! PBE-GGA Ho2InPt4Pb, optimized geometry; values from VASP
&SYSTEM
  ibrav = 0, nat = 8, ntyp = 4
/
ATOMIC_SPECIES
In 114.82 In.upf
Pt 195.08 Pt.upf
Pb 207.20 Pb.upf
Ho 164.93 Ho.upf
CELL_PARAMETERS angstrom
4.613 0.000 0.000
-2.306 3.995 0.000
0.000 0.000 9.022
ATOMIC_POSITIONS crystal
In 0.000 0.000 0.000
Pt 0.667 0.333 0.912
Pt 0.333 0.667 0.088
Pt 0.333 0.667 0.399
Pt 0.667 0.333 0.601
Pb 0.000 0.000 0.500
Ho 0.667 0.333 0.246
Ho 0.333 0.667 0.754
! - magnetization (μB per atom) = 0.001
! - E_tot (eV per cell) = -46.78
! - space group = No. 164